Material: KMoPbO6
Method: DFT, PBE+U
State: optimized geometry

Unit cell a=5.6707 b=5.6707 c=11.5171 alpha=90.00 beta=90.00 gamma=120.00
Last column: magnetic moment on the atom in μB.
Fractional positions:
K: 0.0000 0.0000 0.5000  0.00
O: 0.3867 0.4183 0.8488  0.16
O: 0.4183 0.3867 0.3488  0.16
O: 0.9684 0.5817 0.3488  0.16
O: 0.6133 0.0316 0.3488  0.16
O: 0.3867 0.9684 0.6512  0.16
O: 0.0316 0.6133 0.8488  0.16
Pb: 0.6667 0.3333 0.7500  -0.01
K: 0.0000 0.0000 0.0000  0.00
Pb: 0.3333 0.6667 0.2500  -0.01
O: 0.4183 0.0316 0.1512  0.16
O: 0.6133 0.5817 0.1512  0.16
O: 0.9684 0.3867 0.1512  0.16
O: 0.5817 0.9684 0.8488  0.16
Mo: 0.3333 0.6667 0.7500  -0.13
O: 0.0316 0.4183 0.6512  0.16
O: 0.5817 0.6133 0.6512  0.16
Mo: 0.6667 0.3333 0.2500  -0.13

Calculated values
The density of states at the Fermi level is 11.63 states/eV per cell. The total magnetic moment comes out at 0.115 μB/atom. Its total energy is -5.77 eV/atom. Its space group is P-31c, No. 163.